ScTlMo2 | PBE | relaxed

**N(E_F)**: 2.8 states/eV per cell
**DFT total energy**: -29.17 eV per formula unit
**M_tot**: 0.000 μB per formula unit

a b c (Å): 4.0071 4.0071 4.5676
angles (deg): 90.00 90.00 90.00
Space group P4/mmm (No. 123)
Symmetry-distinct sites (fractional):
Sc 0.0000 0.0000 0.0000 [1 per cell]
Tl 0.5000 0.5000 0.0000 [1 per cell]
Mo 0.0000 0.5000 0.5000 [2 per cell]